1.
First-principles (PBE-GGA) data for PmHoSb after structural relaxation, as listed in Alexandria via LeMat-Bulk.

Summary:
- symmetry = C2/m (12)
- distance to the lowest polymorph of the same formula (meV/atom) = 183
- formation energy (no corrections) (eV per atom) = -0.642

The structure in POSCAR format:
```
PmHoSb
1.0
2.8638 -2.8679 0.0000
2.8638 2.8679 0.0000
-0.0086 0.0000 10.2761
Pm Ho Sb
2 2 2
direct
0.2505 0.2505 0.0981
0.7495 0.7495 0.9019
0.2490 0.2490 0.4079
0.7510 0.7510 0.5921
0.2502 0.2502 0.7375
0.7498 0.7498 0.2625
```

---

2.
First-principles (PBE-GGA) data for B2RuAu after structural relaxation, as listed in Alexandria via LeMat-Bulk.

Summary:
- symmetry = Fm-3m (225)
- distance to the lowest polymorph of the same formula (meV/atom) = 330
- formation energy from the elements (eV per atom) = 0.860

The structure in POSCAR format:
```
B2RuAu
1.0
0.0000 2.8049 2.8049
2.8049 0.0000 2.8049
2.8049 2.8049 0.0000
B Ru Au
2 1 1
direct
0.2500 0.2500 0.2500
0.7500 0.7500 0.7500
0.0000 0.0000 0.0000
0.5000 0.5000 0.5000
```

---

3.
First-principles (PBE-GGA) data for LaTb3Ce2Te6 after structural relaxation, as listed in Alexandria via LeMat-Bulk.

Summary:
- symmetry = C2/m (12)
- formation energy (no corrections) (eV per atom) = -1.385

The structure in POSCAR format:
```
LaTb3Ce2Te6
1.0
9.7259 -2.2055 0.0000
9.7259 2.2055 0.0000
-2.1951 0.0000 8.7029
La Tb Ce Te
1 3 2 6
direct
0.0000 0.0000 0.0000
0.0000 0.0000 0.5000
0.3351 0.3351 0.1677
0.6649 0.6649 0.8323
0.3321 0.3321 0.6644
0.6679 0.6679 0.3356
0.1640 0.1640 0.5893
0.1708 0.1708 0.0792
0.4990 0.4990 0.2596
0.5010 0.5010 0.7404
0.8292 0.8292 0.9208
0.8360 0.8360 0.4107
```

---

4.
First-principles (PBE-GGA) data for KPrMoN3 after structural relaxation, as listed in Alexandria via LeMat-Bulk.

Summary:
- symmetry = C2/m (12)
- formation energy (no corrections) (eV per atom) = -0.484

The structure in POSCAR format:
```
KPrMoN3
1.0
7.0023 -1.9698 0.0000
7.0023 1.9698 0.0000
-2.1133 0.0000 7.7538
K Pr Mo N
2 2 2 6
direct
0.1425 0.1425 0.0685
0.8575 0.8575 0.9315
0.1631 0.1631 0.5960
0.8369 0.8369 0.4040
0.4923 0.4923 0.6771
0.5077 0.5077 0.3229
0.0122 0.0122 0.3453
0.3452 0.3452 0.6441
0.3703 0.3703 0.2075
0.6297 0.6297 0.7925
0.6548 0.6548 0.3559
0.9878 0.9878 0.6547
```

---

Q: What is the formula in the third record?
A: LaTb3Ce2Te6